Tb2PrGeN4 | the Alexandria database | PBE | relaxed; E = -120.81 eV for the cell shown; symmetry = Cmcm
1.0
1.7835 -5.7792 0.0000
1.7835 5.7792 0.0000
0.0000 0.0000 11.6912
Tb Pr Ge N
4 2 2 8
Direct
0.1305 0.8695 0.5435
0.1305 0.8695 0.9565
0.8695 0.1305 0.0435
0.8695 0.1305 0.4565
0.4014 0.5986 0.7500
0.5986 0.4014 0.2500
0.3362 0.6638 0.2500
0.6638 0.3362 0.7500
0.0798 0.9202 0.7500
0.2311 0.7689 0.1264
0.2311 0.7689 0.3736
0.5000 0.5000 0.0000
0.5000 0.5000 0.5000
0.7689 0.2311 0.6264
0.7689 0.2311 0.8736
0.9202 0.0798 0.2500

***

DyHo3S | the Alexandria database | PBE | relaxed; E = -25.64 eV for the cell shown; symmetry = Pm-3m
1.0
5.2700 0.0000 0.0000
0.0000 5.2700 0.0000
0.0000 0.0000 5.2700
Dy Ho S
1 3 1
Direct
0.0000 0.0000 0.0000
0.0000 0.5000 0.5000
0.5000 0.0000 0.5000
0.5000 0.5000 0.0000
0.5000 0.5000 0.5000

***

AgPt2Au | the Alexandria database | PBE | relaxed; formation energy from the elements = 6 kJ/mol of atoms; E = -17.97 eV for the cell shown; symmetry = I4/mmm
1.0
-1.9982 1.9982 4.1769
1.9982 -1.9982 4.1769
1.9982 1.9982 -4.1769
Ag Pt Au
1 2 1
Direct
0.0000 0.0000 0.0000
0.2500 0.7500 0.5000
0.7500 0.2500 0.5000
0.5000 0.5000 0.0000

***

Pm3Pr6Tm2 | the Alexandria database | PBE | relaxed; formation energy from the elements = 27 kJ/mol of atoms; E = -48.79 eV for the cell shown; symmetry = I4/mmm
1.0
-2.4120 2.4120 17.0897
2.4120 -2.4120 17.0897
2.4120 2.4120 -17.0897
Pm Pr Tm
3 6 2
Direct
0.0000 0.0000 0.0000
0.1950 0.1950 0.0000
0.8050 0.8050 0.0000
0.1184 0.6184 0.5000
0.2958 0.2958 0.0000
0.3816 0.8816 0.5000
0.6184 0.1184 0.5000
0.7042 0.7042 0.0000
0.8816 0.3816 0.5000
0.4552 0.4552 0.0000
0.5448 0.5448 0.0000